Record 1
Below is crystalline Ba2Zn2Sn at its relaxed geometry, with properties calculated at the GGA-PBE level.

The calculated total energy is -2.303 eV per atom. The formation enthalpy at 0 K comes out at -1.12 eV/f.u.

Cell lengths 3.950, 3.950, 21.275 Å; angles 90.00, 90.00, 90.00 degrees
Space group I4/mmm (No. 139)
One atom of each set of equivalent atoms:
Ba 0.000 0.000 0.107 (multiplicity 4)
Zn 0.000 0.500 0.250 (multiplicity 4)
Sn 0.000 0.000 0.500 (multiplicity 2)

---

Record 2
Below is crystalline Er8Ir2Au at its relaxed geometry, with properties calculated at the GGA-PBE level.

The calculated total energy is -5.722 eV per atom. The formation enthalpy at 0 K comes out at -5.44 eV/f.u. As for the relative energy among the computed polymorphs: 0.65 eV per formula unit.

Cell lengths 8.499, 12.732, 5.599 Å; angles 90.00, 105.90, 90.00 degrees
Space group Cm (No. 8)
One atom of each set of equivalent atoms:
Er 0.000 0.000 0.000 (multiplicity 2)
Er 0.071 0.369 0.784 (multiplicity 4)
Er 0.166 0.131 0.601 (multiplicity 4)
Er 0.245 0.500 0.382 (multiplicity 2)
Er 0.370 0.234 0.189 (multiplicity 4)
Ir 0.369 0.310 0.691 (multiplicity 4)
Au 0.373 0.000 0.091 (multiplicity 2)

---

Record 3
Below is crystalline Pu2Tl2Se5 at its relaxed geometry, with properties calculated at the GGA-PBE level.

The calculated total energy is -6.603 eV per atom. Its formation energy from raw total energies is -0.956 eV per atom.

Cell lengths 16.250, 7.882, 7.883 Å; angles 90.00, 90.00, 90.00 degrees
Space group Cmce (No. 64)
One atom of each set of equivalent atoms:
Pu 0.000 0.163 0.162 (multiplicity 8)
Tl 0.200 0.000 0.500 (multiplicity 8)
Se 0.000 0.000 0.500 (multiplicity 4)
Se 0.113 0.145 0.856 (multiplicity 16)

---

> calculated total energy of number 3 (Pu2Tl2Se5)?

-6.603 eV per atom